[1]
meta-GGA SCAN Y3FeB7, PBEsol geometry; formation energy = -632 meV per atom; SG = Cmcm (63); calculated density = 5.4 g/cm3; final energy = -14.60 eV/atom
1.0
-2.414 1.677 -1.662
2.484 -5.245 -5.468
-6.279 -6.083 2.983
Y Fe B
6 2 14
Direct
0.243 0.485 0.250
0.757 0.515 0.750
0.105 0.210 0.940
0.895 0.790 0.060
0.895 0.790 0.440
0.105 0.210 0.560
0.054 0.108 0.250
0.946 0.892 0.750
0.460 0.919 0.250
0.540 0.081 0.750
0.478 0.957 0.598
0.522 0.043 0.402
0.522 0.043 0.098
0.478 0.957 0.902
0.370 0.740 0.653
0.630 0.260 0.347
0.272 0.545 0.533
0.728 0.455 0.467
0.728 0.455 0.033
0.272 0.545 0.967
0.370 0.740 0.847
0.630 0.260 0.153

---

[2]
meta-GGA SCAN La3BePd, PBEsol geometry; formation energy = 212 meV per atom; SG = Pm-3m (221); calculated density = 5.2 g/cm3; final energy = -33.08 eV/atom
1.0
-1.122 2.550 4.769
0.450 -4.810 2.678
5.390 0.932 0.769
Be Pd La
1 1 3
Direct
0.500 0.500 0.500
0.000 0.000 0.000
0.000 0.500 0.000
0.000 0.000 0.500
0.500 0.000 0.000

---

[3]
meta-GGA SCAN RuPtBr2, PBEsol geometry; SG = F-43m (216); calculated density = 10.6 g/cm3; energy relative to the lowest polymorph listed for this composition = 770 meV/atom; energy relative to the elements, uncorrected = 1145 meV per atom; final energy = -34.84 eV/atom
1.0
-4.329 1.273 1.162
-1.222 0.275 4.488
-0.759 4.160 1.957
Ru Br Pt
1 2 1
Direct
0.250 0.250 0.250
0.000 0.000 0.000
0.750 0.750 0.750
0.500 0.500 0.500

---

[4]
meta-GGA SCAN TlOs2, PBEsol geometry; formation energy = 1288 meV per atom; SG = P4/mmm (123); calculated density = 16.6 g/cm3; final energy = -70.75 eV/atom
1.0
-2.974 -0.623 -1.860
-0.702 -2.816 2.065
-2.367 2.702 2.880
Os Tl
2 1
Direct
0.000 0.500 0.500
0.500 0.000 0.500
0.000 0.000 0.000

---

[5]
meta-GGA SCAN RbMg2ScC, PBEsol geometry; formation energy = 942 meV per atom; SG = P4/mmm (123); calculated density = 2.1 g/cm3; final energy = -10.06 eV/atom
1.0
-2.218 0.470 -3.514
1.805 -5.401 -1.862
-4.748 -2.504 2.662
Sc Mg C Rb
1 2 1 1
Direct
0.000 0.000 0.000
0.000 0.000 0.500
0.000 0.500 0.000
0.500 0.000 0.000
0.500 0.500 0.500

---

[6]
meta-GGA SCAN K2BiP2, PBEsol geometry; formation energy = -327 meV per atom; SG = P4/mbm (127); calculated density = 4.3 g/cm3; final energy = -23.53 eV/atom
1.0
-1.733 -1.777 -4.444
5.516 -4.725 -0.261
-4.034 -4.905 3.535
P K Bi
4 4 2
Direct
0.000 0.394 0.894
0.000 0.894 0.606
0.000 0.606 0.106
0.000 0.106 0.394
0.500 0.180 0.680
0.500 0.680 0.820
0.500 0.820 0.320
0.500 0.320 0.180
0.000 0.000 0.000
0.000 0.500 0.500

---

[7]
meta-GGA SCAN ScOs3Pd, PBEsol geometry; formation energy = 2514 meV per atom; SG = Pm-3m (221); calculated density = 13.1 g/cm3; final energy = -50.02 eV/atom
1.0
4.510 0.000 0.000
0.000 4.510 0.000
0.000 0.000 4.510
Sc Os Pd
1 3 1
Direct
0.000 0.000 0.000
0.000 0.500 0.000
0.000 0.000 0.500
0.500 0.000 0.000
0.500 0.500 0.500

---

[8]
meta-GGA SCAN MnSi2O6, PBEsol geometry; SG = C2/c (15); calculated density = 3.5 g/cm3; energy relative to the elements, uncorrected = -2651 meV per atom; final energy = -11.06 eV/atom
1.0
5.277 0.010 0.010
1.638 6.095 0.005
1.638 0.252 6.090
Mn Si O
2 4 12
Direct
0.250 0.909 0.091
0.750 0.091 0.909
0.251 0.391 0.211
0.249 0.789 0.609
0.751 0.211 0.391
0.749 0.609 0.789
0.457 0.352 0.369
0.043 0.631 0.648
0.543 0.648 0.631
0.957 0.369 0.352
0.220 0.632 0.087
0.280 0.913 0.368
0.780 0.368 0.913
0.720 0.087 0.632
0.865 0.033 0.189
0.635 0.811 0.967
0.365 0.189 0.033
0.135 0.967 0.811

---

[9]
meta-GGA SCAN LiCuSe2Cl, PBEsol geometry; SG = P4/mmm (123); calculated density = 4.0 g/cm3; energy relative to the elements, uncorrected = -211 meV per atom; final energy = -13.36 eV/atom
1.0
4.670 0.000 0.000
0.000 4.670 0.000
0.000 0.000 4.990
Li Cu Se Cl
1 1 2 1
Direct
0.500 0.500 0.500
0.000 0.000 0.000
0.000 0.500 0.000
0.500 0.000 0.000
0.000 0.000 0.500

---

[10]
meta-GGA SCAN Hf2SiMo3, PBEsol geometry; SG = P6_3/mmc (194); calculated density = 11.1 g/cm3; energy relative to the elements, uncorrected = -361 meV per atom; final energy = -40.36 eV/atom
1.0
5.214 0.000 0.000
-2.607 4.515 0.000
0.000 0.000 8.532
Hf Si Mo
4 2 6
Direct
0.333 0.667 0.064
0.667 0.333 0.936
0.667 0.333 0.564
0.333 0.667 0.436
0.000 0.000 0.000
0.000 0.000 0.500
0.829 0.171 0.250
0.341 0.171 0.250
0.829 0.659 0.250
0.171 0.829 0.750
0.659 0.829 0.750
0.171 0.341 0.750

---

[11]
meta-GGA SCAN BaSrZn2, PBEsol geometry; formation energy = 18 meV per atom; SG = I-4m2 (119); calculated density = 5.6 g/cm3; final energy = -22.20 eV/atom
1.0
5.293 0.000 0.000
0.000 5.293 0.000
-2.646 -2.646 3.753
Ba Sr Zn
1 1 2
Direct
0.500 0.500 0.000
0.250 0.750 0.500
0.000 0.000 0.000
0.750 0.250 0.500

---

[12]
meta-GGA SCAN Sr2ZnCl, PBEsol geometry; SG = P2/m (10); calculated density = 3.7 g/cm3; energy relative to the lowest polymorph listed for this composition = 0 meV/atom; energy relative to the elements, uncorrected = -1034 meV per atom; final energy = -17.55 eV/atom
1.0
3.779 0.000 0.000
0.000 3.961 0.118
0.000 -0.276 8.349
Sr Zn Cl
2 1 1
Direct
0.000 0.502 0.723
0.000 0.498 0.277
0.500 0.000 0.500
0.500 0.500 0.000